one:
A plane-wave DFT calculation with PBE was carried out for an optimized crystal structure of NdY6Sc3.

a = 9.6780 Å, b = 9.6780 Å, c = 11.3477 Å
α = 90.00°, β = 90.00°, γ = 120.00°
Space group R3 (No. 146, hexagonal axes)
One atom of each set of equivalent atoms:
Nd1 0.0000 0.0000 0.0000 [3 per cell]
Y1 0.9996 0.3409 0.9991 [9 per cell]
Y2 0.9998 0.6653 0.4991 [9 per cell]
Sc1 0.0000 0.0000 0.2605 [3 per cell]
Sc2 0.0000 0.0000 0.5004 [3 per cell]
Sc3 0.0000 0.0000 0.7408 [3 per cell]

Spin magnetization ... 1.1 μB/f.u.

two:
A plane-wave DFT calculation with PBE was carried out for an optimized crystal structure of NdY6Sc3.

a = 10.265 Å, b = 18.870 Å, c = 6.281 Å
α = 90.00°, β = 90.00°, γ = 90.00°
Space group Cmc2_1 (No. 36)
One atom of each set of equivalent atoms:
Nd1 0.000 0.212 0.000 [4 per cell]
Y1 0.000 0.045 0.635 [4 per cell]
Y2 0.000 0.315 0.467 [4 per cell]
Y3 0.171 0.466 0.314 [8 per cell]
Y4 0.230 0.202 0.646 [8 per cell]
Sc1 0.000 0.385 0.927 [4 per cell]
Sc2 0.195 0.115 0.211 [8 per cell]

Spin magnetization ... 0.0 μB/f.u.

Among the structures shown above, two is the most stable, with the second-best lying 12 meV/atom higher.